(1)
# Zn2TcW, optimized geometry, DFT GGA-PBEsol
# - D(E_F) (states/eV/f.u.) = 2.78
# - E_form (meV/atom) = 209
# - crystal system = cubic
# - ρ (g/cm³) = 12.1
# - calculated volume (Å³/cell) = 226
data_Zn2TcW
_cell_length_a 6.095
_cell_length_b 6.095
_cell_length_c 6.095
_cell_angle_alpha 90.00
_cell_angle_beta 90.00
_cell_angle_gamma 90.00
_symmetry_space_group_name_H-M 'F -4 3 m'
_symmetry_Int_Tables_number 216
_symmetry_space_group_name_Hall 'F -4 2 3'
loop_
_atom_site_label
_atom_site_fract_x
_atom_site_fract_y
_atom_site_fract_z
Zn1 0.000 0.000 0.000
Zn2 0.250 0.250 0.250
Tc1 0.000 0.000 0.500
W1 0.250 0.250 0.750

(2)
# Zn2TcW, optimized geometry, DFT GGA-PBEsol
# - D(E_F) (states/eV/f.u.) = 2.14
# - E_form (meV/atom) = 196
# - crystal system = orthorhombic
# - ρ (g/cm³) = 12.1
# - calculated volume (Å³/cell) = 57
data_Zn2TcW
_cell_length_a 3.149
_cell_length_b 4.160
_cell_length_c 4.338
_cell_angle_alpha 90.00
_cell_angle_beta 90.00
_cell_angle_gamma 90.00
_symmetry_space_group_name_H-M 'P m m m'
_symmetry_Int_Tables_number 47
loop_
_symmetry_equiv_pos_as_xyz
'x,y,z'
'-x,-y,-z'
'-x,-y,z'
'x,y,-z'
'x,-y,-z'
'-x,y,z'
'-x,y,-z'
'x,-y,z'
loop_
_atom_site_label
_atom_site_fract_x
_atom_site_fract_y
_atom_site_fract_z
Zn1 0.000 0.000 0.000
Zn2 0.500 0.500 0.000
Tc1 0.000 0.500 0.500
W1 0.500 0.000 0.500

(3)
# ZnTc2W, optimized geometry, DFT GGA-PBEsol
# - D(E_F) (states/eV/f.u.) = 2.76
# - E_form (meV/atom) = 151
# - crystal system = tetragonal
# - ρ (g/cm³) = 12.9
# - calculated volume (Å³/cell) = 57
data_ZnTc2W
_cell_length_a 2.740
_cell_length_b 2.740
_cell_length_c 7.625
_cell_angle_alpha 90.00
_cell_angle_beta 90.00
_cell_angle_gamma 90.00
_symmetry_space_group_name_H-M 'P 4 m m'
_symmetry_Int_Tables_number 99
loop_
_symmetry_equiv_pos_as_xyz
'x,y,z'
'-y,x,z'
'-x,-y,z'
'y,-x,z'
'-x,y,z'
'y,x,z'
'x,-y,z'
'-y,-x,z'
loop_
_atom_site_label
_atom_site_fract_x
_atom_site_fract_y
_atom_site_fract_z
Zn1 0.000 0.000 0.000
Tc1 0.000 0.000 0.476
Tc2 0.500 0.500 0.249
W1 0.500 0.500 0.742

(4)
# Zn2TcW, optimized geometry, DFT GGA-PBEsol
# - D(E_F) (states/eV/f.u.) = 2.14
# - E_form (meV/atom) = 168
# - crystal system = orthorhombic
# - ρ (g/cm³) = 12.3
# - calculated volume (Å³/cell) = 112
data_Zn2TcW
_cell_length_a 3.321
_cell_length_b 4.248
_cell_length_c 7.928
_cell_angle_alpha 90.00
_cell_angle_beta 90.00
_cell_angle_gamma 90.00
_symmetry_space_group_name_H-M 'I m m 2'
_symmetry_Int_Tables_number 44
loop_
_symmetry_equiv_pos_as_xyz
'x,y,z'
'-x,-y,z'
'-x,y,z'
'x,-y,z'
'x+1/2,y+1/2,z+1/2'
'-x+1/2,-y+1/2,z+1/2'
'-x+1/2,y+1/2,z+1/2'
'x+1/2,-y+1/2,z+1/2'
loop_
_atom_site_label
_atom_site_fract_x
_atom_site_fract_y
_atom_site_fract_z
Zn1 0.000 0.000 0.000
Zn2 0.000 0.500 0.268
Tc1 0.000 0.500 0.760
W1 0.000 0.000 0.507

(5)
# ZnTcW2, optimized geometry, DFT GGA-PBEsol
# - D(E_F) (states/eV/f.u.) = 3.32
# - E_form (meV/atom) = 295
# - crystal system = tetragonal
# - ρ (g/cm³) = 15.0
# - calculated volume (Å³/cell) = 118
data_ZnTcW2
_cell_length_a 3.850
_cell_length_b 3.850
_cell_length_c 7.935
_cell_angle_alpha 90.00
_cell_angle_beta 90.00
_cell_angle_gamma 90.00
_symmetry_space_group_name_H-M 'I -4 m 2'
_symmetry_Int_Tables_number 119
_symmetry_space_group_name_Hall 'I -4 -2'
loop_
_atom_site_label
_atom_site_fract_x
_atom_site_fract_y
_atom_site_fract_z
Zn1 0.000 0.000 0.000
Tc1 0.000 0.500 0.250
W1 0.000 0.000 0.500
W2 0.000 0.500 0.750

(6)
# ZnTcW2, optimized geometry, DFT GGA-PBEsol
# - D(E_F) (states/eV/f.u.) = 2.93
# - E_form (meV/atom) = 217
# - crystal system = monoclinic
# - ρ (g/cm³) = 14.9
# - calculated volume (Å³/cell) = 59
data_ZnTcW2
_cell_length_a 2.667
_cell_length_b 4.323
_cell_length_c 5.265
_cell_angle_alpha 90.00
_cell_angle_beta 103.40
_cell_angle_gamma 90.00
_symmetry_space_group_name_H-M 'P 1 2/m 1'
_symmetry_Int_Tables_number 10
loop_
_symmetry_equiv_pos_as_xyz
'x,y,z'
'-x,-y,-z'
'-x,y,-z'
'x,-y,z'
loop_
_atom_site_label
_atom_site_fract_x
_atom_site_fract_y
_atom_site_fract_z
Zn1 0.000 0.000 0.000
Tc1 0.500 0.000 0.500
W1 0.257 0.500 0.748

(7)
# ZnTcW2, optimized geometry, DFT GGA-PBEsol
# - D(E_F) (states/eV/f.u.) = 2.81
# - E_form (meV/atom) = 236
# - crystal system = monoclinic
# - ρ (g/cm³) = 14.9
# - calculated volume (Å³/cell) = 118
data_ZnTcW2
_cell_length_a 5.334
_cell_length_b 8.631
_cell_length_c 2.680
_cell_angle_alpha 90.00
_cell_angle_beta 106.91
_cell_angle_gamma 90.00
_symmetry_space_group_name_H-M 'C 1 2/m 1'
_symmetry_Int_Tables_number 12
loop_
_symmetry_equiv_pos_as_xyz
'x,y,z'
'-x,-y,-z'
'-x,y,-z'
'x,-y,z'
'x+1/2,y+1/2,z'
'-x+1/2,-y+1/2,-z'
'-x+1/2,y+1/2,-z'
'x+1/2,-y+1/2,z'
loop_
_atom_site_label
_atom_site_fract_x
_atom_site_fract_y
_atom_site_fract_z
Zn1 0.000 0.000 0.000
Tc1 0.000 0.500 0.000
W1 0.250 0.250 0.500

(8)
# ZnTcW2, optimized geometry, DFT GGA-PBEsol
# - D(E_F) (states/eV/f.u.) = 2.69
# - E_form (meV/atom) = 236
# - crystal system = orthorhombic
# - ρ (g/cm³) = 15.1
# - calculated volume (Å³/cell) = 58
data_ZnTcW2
_cell_length_a 3.317
_cell_length_b 4.194
_cell_length_c 4.205
_cell_angle_alpha 90.00
_cell_angle_beta 90.00
_cell_angle_gamma 90.00
_symmetry_space_group_name_H-M 'P m m m'
_symmetry_Int_Tables_number 47
loop_
_symmetry_equiv_pos_as_xyz
'x,y,z'
'-x,-y,-z'
'-x,-y,z'
'x,y,-z'
'x,-y,-z'
'-x,y,z'
'-x,y,-z'
'x,-y,z'
loop_
_atom_site_label
_atom_site_fract_x
_atom_site_fract_y
_atom_site_fract_z
Zn1 0.000 0.000 0.000
Tc1 0.500 0.500 0.000
W1 0.000 0.500 0.500
W2 0.500 0.000 0.500

(9)
# ZrTc2W, optimized geometry, DFT GGA-PBEsol
# - D(E_F) (states/eV/f.u.) = 0.92
# - E_form (meV/atom) = -257
# - crystal system = cubic
# - ρ (g/cm³) = 12.4
# - calculated volume (Å³/cell) = 253
data_ZrTc2W
_cell_length_a 6.322
_cell_length_b 6.322
_cell_length_c 6.322
_cell_angle_alpha 90.00
_cell_angle_beta 90.00
_cell_angle_gamma 90.00
_symmetry_space_group_name_H-M 'F m -3 m'
_symmetry_Int_Tables_number 225
_symmetry_space_group_name_Hall '-F 4 2 3'
loop_
_atom_site_label
_atom_site_fract_x
_atom_site_fract_y
_atom_site_fract_z
Zr1 0.000 0.000 0.000
Tc1 0.250 0.250 0.250
W1 0.000 0.000 0.500

(10)
# ZrTc2W, optimized geometry, DFT GGA-PBEsol
# - D(E_F) (states/eV/f.u.) = 2.87
# - E_form (meV/atom) = 1
# - crystal system = monoclinic
# - ρ (g/cm³) = 12.3
# - calculated volume (Å³/cell) = 64
data_ZrTc2W
_cell_length_a 2.798
_cell_length_b 4.472
_cell_length_c 5.176
_cell_angle_alpha 90.00
_cell_angle_beta 101.15
_cell_angle_gamma 90.00
_symmetry_space_group_name_H-M 'P 1 m 1'
_symmetry_Int_Tables_number 6
loop_
_symmetry_equiv_pos_as_xyz
'x,y,z'
'x,-y,z'
loop_
_atom_site_label
_atom_site_fract_x
_atom_site_fract_y
_atom_site_fract_z
Zr1 0.000 0.000 0.000
Tc1 0.495 0.000 0.501
Tc2 0.762 0.500 0.236
W1 0.264 0.500 0.725

(11)
# Zr2TcW, optimized geometry, DFT GGA-PBEsol
# - D(E_F) (states/eV/f.u.) = 3.97
# - E_form (meV/atom) = 21
# - crystal system = orthorhombic
# - ρ (g/cm³) = 11.1
# - calculated volume (Å³/cell) = 139
data_Zr2TcW
_cell_length_a 3.234
_cell_length_b 4.766
_cell_length_c 9.043
_cell_angle_alpha 90.00
_cell_angle_beta 90.00
_cell_angle_gamma 90.00
_symmetry_space_group_name_H-M 'I m m m'
_symmetry_Int_Tables_number 71
_symmetry_space_group_name_Hall '-I 2 2'
loop_
_atom_site_label
_atom_site_fract_x
_atom_site_fract_y
_atom_site_fract_z
Zr1 0.000 0.000 0.240
Tc1 0.000 0.500 0.500
W1 0.000 0.500 0.000

(12)
# ZrTc2W, optimized geometry, DFT GGA-PBEsol
# - D(E_F) (states/eV/f.u.) = 1.20
# - E_form (meV/atom) = -224
# - crystal system = tetragonal
# - ρ (g/cm³) = 12.4
# - calculated volume (Å³/cell) = 63
data_ZrTc2W
_cell_length_a 4.481
_cell_length_b 4.481
_cell_length_c 3.152
_cell_angle_alpha 90.00
_cell_angle_beta 90.00
_cell_angle_gamma 90.00
_symmetry_space_group_name_H-M 'P 4/m m m'
_symmetry_Int_Tables_number 123
_symmetry_space_group_name_Hall '-P 4 2'
loop_
_atom_site_label
_atom_site_fract_x
_atom_site_fract_y
_atom_site_fract_z
Zr1 0.000 0.000 0.000
Tc1 0.000 0.500 0.500
W1 0.500 0.500 0.000

(13)
# ZrTc2W, optimized geometry, DFT GGA-PBEsol
# - D(E_F) (states/eV/f.u.) = 3.11
# - E_form (meV/atom) = 6
# - crystal system = orthorhombic
# - ρ (g/cm³) = 12.3
# - calculated volume (Å³/cell) = 64
data_ZrTc2W
_cell_length_a 3.154
_cell_length_b 4.359
_cell_length_c 4.619
_cell_angle_alpha 90.00
_cell_angle_beta 90.00
_cell_angle_gamma 90.00
_symmetry_space_group_name_H-M 'P m m m'
_symmetry_Int_Tables_number 47
loop_
_symmetry_equiv_pos_as_xyz
'x,y,z'
'-x,-y,-z'
'-x,-y,z'
'x,y,-z'
'x,-y,-z'
'-x,y,z'
'-x,y,-z'
'x,-y,z'
loop_
_atom_site_label
_atom_site_fract_x
_atom_site_fract_y
_atom_site_fract_z
Zr1 0.000 0.000 0.000
Tc1 0.000 0.500 0.500
Tc2 0.500 0.500 0.000
W1 0.500 0.000 0.500

(14)
# YTc2, optimized geometry, DFT GGA-PBEsol
# - D(E_F) (states/eV/f.u.) = 2.89
# - E_form (meV/atom) = -137
# - crystal system = hexagonal
# - ρ (g/cm³) = 8.8
# - calculated volume (Å³/cell) = 428
data_YTc2
_cell_length_a 5.3125
_cell_length_b 5.3125
_cell_length_c 17.5104
_cell_angle_alpha 90.00
_cell_angle_beta 90.00
_cell_angle_gamma 120.00
_symmetry_space_group_name_H-M 'P 63/m m c'
_symmetry_Int_Tables_number 194
_symmetry_space_group_name_Hall '-P 6c 2c'
loop_
_atom_site_label
_atom_site_fract_x
_atom_site_fract_y
_atom_site_fract_z
Y1 0.0000 0.0000 0.0929
Y2 0.3333 0.6667 0.1562
Tc1 0.0000 0.5000 0.0000
Tc2 0.1608 0.3216 0.7500
Tc3 0.3333 0.6667 0.6300